Compound: Tb2Co17
Source: the Open Quantum Materials Database
Functional: PBE
Structure: optimized geometry

Unit cell a=8.253 b=8.253 c=8.041 alpha=90.00 beta=90.00 gamma=120.00
Atoms (fractional coordinates):
Tb (0.000, 0.000, 0.250)
Tb (0.000, 0.000, 0.750)
Tb (0.333, 0.667, 0.250)
Tb (0.667, 0.333, 0.750)
Co (0.000, 0.500, 0.000)
Co (0.000, 0.500, 0.500)
Co (0.047, 0.375, 0.750)
Co (0.047, 0.672, 0.750)
Co (0.167, 0.333, 0.022)
Co (0.167, 0.333, 0.478)
Co (0.167, 0.833, 0.022)
Co (0.167, 0.833, 0.478)
Co (0.328, 0.375, 0.750)
Co (0.328, 0.953, 0.750)
Co (0.333, 0.167, 0.522)
Co (0.333, 0.167, 0.978)
Co (0.333, 0.667, 0.606)
Co (0.333, 0.667, 0.894)
Co (0.375, 0.047, 0.250)
Co (0.375, 0.328, 0.250)
Co (0.500, 0.000, 0.000)
Co (0.500, 0.000, 0.500)
Co (0.500, 0.500, 0.000)
Co (0.500, 0.500, 0.500)
Co (0.625, 0.672, 0.750)
Co (0.625, 0.953, 0.750)
Co (0.667, 0.333, 0.106)
Co (0.667, 0.333, 0.394)
Co (0.667, 0.833, 0.022)
Co (0.667, 0.833, 0.478)
Co (0.672, 0.047, 0.250)
Co (0.672, 0.625, 0.250)
Co (0.833, 0.167, 0.522)
Co (0.833, 0.167, 0.978)
Co (0.833, 0.667, 0.522)
Co (0.833, 0.667, 0.978)
Co (0.953, 0.328, 0.250)
Co (0.953, 0.625, 0.250)

energy above the most stable polymorph in this dataset = 3 meV/atom
formation energy from the elements = -0.09 eV per atom
magnetic moment = 25.23 μB per formula unit


Compound: Li5Cu3C3
Source: the Open Quantum Materials Database
Functional: PBE
Structure: optimized geometry

Unit cell a=6.778 b=6.778 c=3.609 alpha=90.00 beta=90.00 gamma=120.00
Atoms (fractional coordinates):
Li (0.000, 0.735, 0.000)
Li (0.265, 0.265, 0.000)
Li (0.333, 0.667, 0.000)
Li (0.667, 0.333, 0.000)
Li (0.735, 0.000, 0.000)
Cu (0.000, 0.367, 0.500)
Cu (0.367, 0.000, 0.500)
Cu (0.633, 0.633, 0.500)
C (0.000, 0.365, 0.000)
C (0.365, 0.000, 0.000)
C (0.635, 0.635, 0.000)

total energy = -44.2 eV per cell


Compound: HfAuNO
Source: the Open Quantum Materials Database
Functional: PBE
Structure: optimized geometry

Unit cell a=4.631 b=4.631 c=4.567 alpha=90.00 beta=90.00 gamma=90.00
Atoms (fractional coordinates):
Hf (0.250, 0.750, 0.000)
Hf (0.750, 0.250, 0.000)
Au (0.250, 0.250, 0.389)
Au (0.750, 0.750, 0.611)
N (0.250, 0.250, 0.922)
N (0.750, 0.750, 0.078)
O (0.250, 0.750, 0.500)
O (0.750, 0.250, 0.500)

energy above the most stable polymorph in this dataset = 740 meV/atom
magnetic moment = 0.00 μB per formula unit


Compound: Nd2Tm2Ni
Source: the Open Quantum Materials Database
Functional: PBE
Structure: optimized geometry

Unit cell a=5.399 b=5.399 c=10.693 alpha=90.00 beta=90.00 gamma=120.00
Atoms (fractional coordinates):
Nd (0.333, 0.667, 0.097)
Nd (0.333, 0.667, 0.403)
Nd (0.667, 0.333, 0.597)
Nd (0.667, 0.333, 0.903)
Tm (0.000, 0.000, 0.000)
Tm (0.000, 0.000, 0.500)
Tm (0.333, 0.667, 0.750)
Tm (0.667, 0.333, 0.250)
Ni (0.000, 0.000, 0.250)
Ni (0.000, 0.000, 0.750)

formation energy from the elements = 0.03 eV per atom
magnetic moment = 0.01 μB per formula unit


Compound: Ta4Nb2Fe3N3
Source: the Open Quantum Materials Database
Functional: PBE
Structure: optimized geometry

Unit cell a=5.211 b=5.211 c=13.495 alpha=101.29 beta=101.29 gamma=59.75
Atoms (fractional coordinates):
Ta (0.024, 0.203, 0.094)
Ta (0.138, 0.304, 0.406)
Ta (0.203, 0.024, 0.594)
Ta (0.304, 0.138, 0.906)
Ta (0.696, 0.862, 0.094)
Ta (0.797, 0.976, 0.406)
Ta (0.862, 0.696, 0.594)
Ta (0.976, 0.797, 0.906)
Nb (0.380, 0.546, 0.133)
Nb (0.454, 0.620, 0.367)
Nb (0.546, 0.380, 0.633)
Nb (0.620, 0.454, 0.867)
Fe (0.068, 0.414, 0.749)
Fe (0.103, 0.897, 0.750)
Fe (0.414, 0.068, 0.249)
Fe (0.586, 0.932, 0.751)
Fe (0.897, 0.103, 0.250)
Fe (0.932, 0.586, 0.251)
N (0.000, 0.500, 0.000)
N (0.187, 0.656, 0.500)
N (0.344, 0.813, 0.000)
N (0.500, 0.000, 0.500)
N (0.656, 0.187, 0.000)
N (0.813, 0.344, 0.500)

total energy = -247.8 eV per cell
magnetic moment = 1.71 μB per formula unit


Compound: LuInPd
Source: the Open Quantum Materials Database
Functional: PBE
Structure: optimized geometry

Unit cell a=4.754 b=4.754 c=4.754 alpha=60.00 beta=60.00 gamma=60.00
Atoms (fractional coordinates):
Lu (0.000, 0.000, 0.000)
In (0.750, 0.750, 0.750)
Pd (0.250, 0.250, 0.250)

total energy = -12.7 eV per cell
magnetic moment = 0.00 μB per formula unit


Compound: Co2BSb
Source: the Open Quantum Materials Database
Functional: PBE
Structure: optimized geometry

Unit cell a=3.360 b=5.121 c=5.707 alpha=90.00 beta=90.00 gamma=90.00
Atoms (fractional coordinates):
Co (0.250, 0.013, 0.171)
Co (0.250, 0.487, 0.171)
Co (0.750, 0.513, 0.829)
Co (0.750, 0.987, 0.829)
B (0.250, 0.750, 0.902)
B (0.750, 0.250, 0.098)
Sb (0.250, 0.250, 0.582)
Sb (0.750, 0.750, 0.418)

energy above the most stable polymorph in this dataset = 0 meV/atom
magnetic moment = 0.01 μB per formula unit


Compound: LaNdCuSi3
Source: the Open Quantum Materials Database
Functional: PBE
Structure: optimized geometry

Unit cell a=8.271 b=8.132 c=5.959 alpha=69.95 beta=67.46 gamma=42.59
Atoms (fractional coordinates):
La (0.244, 0.756, 0.244)
La (0.756, 0.244, 0.756)
Nd (0.250, 0.250, 0.250)
Nd (0.750, 0.750, 0.750)
Cu (0.333, 0.333, 0.667)
Cu (0.667, 0.667, 0.333)
Si (0.169, 0.661, 0.831)
Si (0.170, 0.170, 0.830)
Si (0.339, 0.831, 0.661)
Si (0.661, 0.169, 0.339)
Si (0.830, 0.830, 0.170)
Si (0.831, 0.339, 0.169)

energy above the most stable polymorph in this dataset = 0 meV/atom
magnetic moment = 0.00 μB per formula unit


Compound: Sm2Gd2I5N
Source: the Open Quantum Materials Database
Functional: PBE
Structure: optimized geometry

Unit cell a=9.996 b=9.996 c=8.651 alpha=102.21 beta=102.21 gamma=22.90
Atoms (fractional coordinates):
Sm (0.001, 0.001, 0.308)
Sm (0.999, 0.999, 0.692)
Gd (0.377, 0.377, 0.439)
Gd (0.623, 0.623, 0.561)
I (0.161, 0.161, 0.837)
I (0.164, 0.164, 0.324)
I (0.500, 0.500, 0.000)
I (0.836, 0.836, 0.676)
I (0.839, 0.839, 0.163)
N (0.500, 0.500, 0.500)

total energy = -47.8 eV per cell
magnetic moment = 0.00 μB per formula unit


Compound: ScBeSnIr
Source: the Open Quantum Materials Database
Functional: PBE
Structure: optimized geometry

Unit cell a=4.513 b=4.513 c=4.513 alpha=60.00 beta=60.00 gamma=60.00
Atoms (fractional coordinates):
Sc (0.000, 0.000, 0.000)
Be (0.250, 0.250, 0.250)
Sn (0.500, 0.500, 0.500)
Ir (0.750, 0.750, 0.750)

energy above the most stable polymorph in this dataset = 0 meV/atom
magnetic moment = 0.00 μB per formula unit


Compound: GdScPd
Source: the Open Quantum Materials Database
Functional: PBE
Structure: optimized geometry

Unit cell a=4.757 b=4.757 c=4.757 alpha=60.00 beta=60.00 gamma=60.00
Atoms (fractional coordinates):
Gd (0.000, 0.000, 0.000)
Sc (0.500, 0.500, 0.500)
Pd (0.250, 0.250, 0.250)

energy above the most stable polymorph in this dataset = 0 meV/atom
formation energy from the elements = -0.44 eV per atom
magnetic moment = 0.01 μB per formula unit


Compound: Gd7Ir2Se2
Source: the Open Quantum Materials Database
Functional: PBE
Structure: optimized geometry

Unit cell a=9.222 b=9.222 c=9.222 alpha=155.40 beta=66.37 gamma=119.45
Atoms (fractional coordinates):
Gd (0.000, 0.000, 0.000)
Gd (0.290, 0.414, 0.877)
Gd (0.305, 0.623, 0.682)
Gd (0.537, 0.414, 0.123)
Gd (0.615, 0.257, 0.358)
Gd (0.898, 0.257, 0.642)
Gd (0.941, 0.623, 0.318)
Ir (0.166, 0.926, 0.241)
Ir (0.685, 0.926, 0.759)
Se (0.256, 0.756, 0.500)
Se (0.665, 0.665, 0.000)

total energy = -68.5 eV per cell
magnetic moment = 0.00 μB per formula unit


Compound: Th4TlPt2
Source: the Open Quantum Materials Database
Functional: PBE
Structure: optimized geometry

Unit cell a=5.006 b=5.006 c=7.786 alpha=90.00 beta=90.00 gamma=90.00
Atoms (fractional coordinates):
Th (0.000, 0.500, 0.232)
Th (0.000, 0.500, 0.768)
Th (0.500, 0.000, 0.232)
Th (0.500, 0.000, 0.768)
Tl (0.000, 0.000, 0.500)
Pt (0.000, 0.000, 0.000)
Pt (0.500, 0.500, 0.500)

total energy = -47.2 eV per cell
magnetic moment = 0.02 μB per formula unit


Compound: Pr3Tm3CoTe2
Source: the Open Quantum Materials Database
Functional: PBE
Structure: optimized geometry

Unit cell a=8.584 b=8.584 c=3.857 alpha=90.00 beta=90.00 gamma=120.00
Atoms (fractional coordinates):
Pr (0.000, 0.242, 0.000)
Pr (0.242, 0.000, 0.000)
Pr (0.758, 0.758, 0.000)
Tm (0.000, 0.595, 0.500)
Tm (0.405, 0.405, 0.500)
Tm (0.595, 0.000, 0.500)
Co (0.000, 0.000, 0.500)
Te (0.333, 0.667, 0.000)
Te (0.667, 0.333, 0.000)

energy above the most stable polymorph in this dataset = 154 meV/atom
magnetic moment = 0.28 μB per formula unit


Compound: SmAsW
Source: the Open Quantum Materials Database
Functional: PBE
Structure: optimized geometry

Unit cell a=4.834 b=4.834 c=4.834 alpha=60.00 beta=60.00 gamma=60.00
Atoms (fractional coordinates):
Sm (0.000, 0.000, 0.000)
As (0.750, 0.750, 0.750)
W (0.250, 0.250, 0.250)

energy above the most stable polymorph in this dataset = 966 meV/atom
magnetic moment = 3.15 μB per formula unit


Compound: BeNbW
Source: the Open Quantum Materials Database
Functional: PBE
Structure: optimized geometry

Unit cell a=4.023 b=4.023 c=4.023 alpha=60.00 beta=60.00 gamma=60.00
Atoms (fractional coordinates):
Be (0.000, 0.000, 0.000)
Nb (0.750, 0.750, 0.750)
W (0.250, 0.250, 0.250)

energy above the most stable polymorph in this dataset = 0 meV/atom
magnetic moment = 0.00 μB per formula unit


Compound: Ba2SnHg
Source: the Open Quantum Materials Database
Functional: PBE
Structure: optimized geometry

Unit cell a=5.982 b=5.982 c=5.982 alpha=119.96 beta=119.96 gamma=90.07
Atoms (fractional coordinates):
Ba (0.250, 0.750, 0.500)
Ba (0.750, 0.250, 0.500)
Sn (0.000, 0.000, 0.000)
Hg (0.500, 0.500, 0.000)

energy above the most stable polymorph in this dataset = 0 meV/atom


Compound: BeZnPtPb
Source: the Open Quantum Materials Database
Functional: PBE
Structure: optimized geometry

Unit cell a=4.615 b=4.615 c=4.615 alpha=60.00 beta=60.00 gamma=60.00
Atoms (fractional coordinates):
Be (0.000, 0.000, 0.000)
Zn (0.750, 0.750, 0.750)
Pt (0.250, 0.250, 0.250)
Pb (0.500, 0.500, 0.500)

energy above the most stable polymorph in this dataset = 96 meV/atom
magnetic moment = 0.00 μB per formula unit


Compound: HfCd2
Source: the Open Quantum Materials Database
Functional: PBE
Structure: optimized geometry

Unit cell a=5.602 b=5.602 c=5.602 alpha=60.00 beta=60.00 gamma=60.00
Atoms (fractional coordinates):
Hf (0.125, 0.125, 0.125)
Hf (0.875, 0.875, 0.875)
Cd (0.000, 0.500, 0.500)
Cd (0.500, 0.000, 0.500)
Cd (0.500, 0.500, 0.000)
Cd (0.500, 0.500, 0.500)

formation energy from the elements = 0.12 eV per atom
magnetic moment = 0.85 μB per formula unit


Compound: Rb3TbI6
Source: the Open Quantum Materials Database
Functional: PBE
Structure: optimized geometry

Unit cell a=8.708 b=9.330 c=14.979 alpha=90.00 beta=123.90 gamma=90.00
Atoms (fractional coordinates):
Rb (0.000, 0.000, 0.000)
Rb (0.000, 0.500, 0.500)
Rb (0.208, 0.083, 0.742)
Rb (0.208, 0.417, 0.242)
Rb (0.792, 0.583, 0.758)
Rb (0.792, 0.917, 0.258)
Tb (0.500, 0.000, 0.500)
Tb (0.500, 0.500, 0.000)
I (0.161, 0.175, 0.445)
I (0.161, 0.325, 0.945)
I (0.263, 0.726, 0.424)
I (0.263, 0.774, 0.924)
I (0.407, 0.053, 0.274)
I (0.407, 0.447, 0.774)
I (0.593, 0.553, 0.226)
I (0.593, 0.947, 0.726)
I (0.737, 0.226, 0.076)
I (0.737, 0.274, 0.576)
I (0.839, 0.675, 0.055)
I (0.839, 0.825, 0.555)

energy above the most stable polymorph in this dataset = 0 meV/atom
magnetic moment = 0.00 μB per formula unit